Compound: La2GdTi
Source: Alexandria
Functional: PBE
Structure: relaxed

Properties
- ΔE_f (eV/atom) = 0.179
- density (Mg/m³) = 6.54

a b c (Å): 3.728 3.728 8.820
angles (deg): 90.00 90.00 90.00
Space group P4/mmm (No. 123)
One atom of each set of equivalent atoms:
La1 0.000 0.000 0.216 (multiplicity 2)
Gd1 0.500 0.500 0.500 (multiplicity 1)
Ti1 0.500 0.500 0.000 (multiplicity 1)

Compound: RbLiAu
Source: Alexandria
Functional: PBE
Structure: relaxed

Properties
- polymorph energy (0 for the lowest one) (eV per atom) = 0.091
- ΔE_f (eV/atom) = -0.197
- density (Mg/m³) = 5.45

a b c (Å): 3.759 3.759 12.468
angles (deg): 90.00 90.00 90.00
Space group I4mm (No. 107)
One atom of each set of equivalent atoms:
Rb1 0.000 0.000 0.000 (multiplicity 2)
Li1 0.000 0.000 0.257 (multiplicity 2)
Au1 0.000 0.000 0.711 (multiplicity 2)

Compound: Dy2PaTi
Source: Alexandria
Functional: PBE
Structure: relaxed

Properties
- ΔE_f (eV/atom) = 0.429
- density (Mg/m³) = 9.43

a b c (Å): 3.2759 3.2759 34.3292
angles (deg): 90.00 90.00 120.00
Space group R-3m (No. 166, hexagonal axes)
One atom of each set of equivalent atoms:
Dy1 0.0000 0.0000 0.0855 (multiplicity 6)
Pa1 0.0000 0.0000 0.5000 (multiplicity 3)
Ti1 0.0000 0.0000 0.0000 (multiplicity 3)